--- w ---
Material: HfBeCuSn
Method: DFT, PBE-GGA
State: optimized geometry

a = 4.5677 Å, b = 4.5677 Å, c = 4.5677 Å
α = 60.00°, β = 60.00°, γ = 60.00°
Fractional positions:
Be1 0.5000 0.5000 0.5000
Cu1 0.7500 0.7500 0.7500
Hf1 0.2500 0.2500 0.2500
Sn1 0.0000 0.0000 0.0000

---

--- x ---
Material: HfBeCuSn
Method: DFT, PBE-GGA
State: optimized geometry

a = 4.4960 Å, b = 4.4960 Å, c = 4.4960 Å
α = 60.00°, β = 60.00°, γ = 60.00°
Fractional positions:
Be1 0.2500 0.2500 0.2500
Cu1 0.7500 0.7500 0.7500
Hf1 0.5000 0.5000 0.5000
Sn1 0.0000 0.0000 0.0000

---

The most stable of them is x.